{"formula": "CsCr3P", "functional": "PBE", "state": "relaxed", "e_form_ev_per_atom": 0.892, "spacegroup": "Pm-3m, No. 221", "magmom_total_mub_per_cell": 14.016, "lattice_angstrom": [[-1.6236, -2.6077, -4.0019], [-2.9645, -2.7641, 3.0039], [-3.7453, 3.3184, -0.6428]], "species": ["Cr", "Cr", "P", "Cr", "Cs"], "fractional_positions": [[0.0000, 0.5000, 0.0000], [0.0000, 0.0000, 0.5000], [0.0000, 0.0000, 0.0000], [0.5000, 0.0000, 0.0000], [0.5000, 0.5000, 0.5000]]}



{"formula": "CsCrP2S8", "functional": "PBE", "state": "relaxed", "energy_ev_per_cell": -58.65, "spacegroup": "P-3, No. 147", "magmom_total_mub_per_cell": 0.975, "lattice_angstrom": [[5.8999, 0.0000, 0.0000], [-2.9500, 5.1094, 0.0000], [0.0000, 0.0000, 10.2684]], "species": ["P", "P", "S", "S", "Cs", "S", "S", "S", "S", "S", "Cr", "S"], "fractional_positions": [[0.3333, 0.6667, 0.6880], [0.6667, 0.3333, 0.3120], [0.6701, 0.6637, 0.6250], [0.6637, 0.9937, 0.3750], [0.0000, 0.0000, 0.0000], [0.0063, 0.6701, 0.3750], [0.6667, 0.3333, 0.1184], [0.9937, 0.3299, 0.6250], [0.3363, 0.0063, 0.6250], [0.3299, 0.3363, 0.3750], [0.0000, 0.0000, 0.5000], [0.3333, 0.6667, 0.8816]]}



{"formula": "CsCrP2S", "functional": "PBE", "state": "relaxed", "e_above_lowest_polymorph_mev_per_atom": 1910.5, "spacegroup": "P4/mmm, No. 123", "magmom_total_mub_per_cell": 2.450, "lattice_angstrom": [[5.6574, 0.0000, 0.0000], [0.0000, 5.6574, 0.0000], [0.0000, 0.0000, 5.3220]], "species": ["P", "Cs", "S", "P", "Cr"], "fractional_positions": [[0.5000, 0.0000, 0.0000], [0.0000, 0.0000, 0.0000], [0.0000, 0.0000, 0.5000], [0.0000, 0.5000, 0.0000], [0.5000, 0.5000, 0.5000]]}



{"formula": "CsCrP2S7", "functional": "PBE", "state": "relaxed", "energy_ev_per_cell": -56.55, "spacegroup": "C2, No. 5", "magmom_total_mub_per_cell": 3.000, "lattice_angstrom": [[6.5229, 0.0060, -0.0168], [-0.7601, 6.4785, -0.0168], [0.5710, 0.6425, 7.0952]], "species": ["S", "S", "S", "Cs", "S", "P", "P", "S", "S", "S", "Cr"], "fractional_positions": [[0.1680, 0.4780, 0.6570], [0.3208, 0.3535, 0.2505], [0.6465, 0.6792, 0.7495], [0.1021, 0.8979, 0.0000], [0.9880, 0.0120, 0.5000], [0.0610, 0.3415, 0.4313], [0.6585, 0.9390, 0.5687], [0.8291, 0.4590, 0.3014], [0.5410, 0.1709, 0.6986], [0.5220, 0.8320, 0.3430], [0.5134, 0.4866, 0.5000]]}



{"formula": "CsCrP2S", "functional": "PBE", "state": "relaxed", "e_above_lowest_polymorph_mev_per_atom": 0.0, "spacegroup": "P4/mmm, No. 123", "magmom_total_mub_per_cell": 0.000, "lattice_angstrom": [[-1.9207, -4.0965, -0.3403], [2.3037, -1.3838, 3.6557], [-3.9152, 1.5810, 3.0657]], "species": ["Cs", "S", "P", "P", "Cr"], "fractional_positions": [[0.5000, 0.5000, 0.5000], [0.0000, 0.0000, 0.5000], [0.0000, 0.5000, 0.0000], [0.5000, 0.0000, 0.0000], [0.0000, 0.0000, 0.0000]]}



{"formula": "CsCrP2Se8", "functional": "PBE", "state": "relaxed", "energy_ev_per_cell": -52.33, "spacegroup": "P-3, No. 147", "magmom_total_mub_per_cell": 0.952, "lattice_angstrom": [[-5.3774, -2.9826, 0.9967], [5.1368, -1.7301, 3.0701], [-2.3613, 6.8717, 7.8234]], "species": ["Se", "Se", "Se", "Cr", "Se", "Se", "Se", "Cs", "Se", "P", "P", "Se"], "fractional_positions": [[0.6570, 0.9779, 0.3722], [0.6791, 0.6570, 0.6278], [0.9779, 0.3209, 0.6278], [0.0000, 0.0000, 0.5000], [0.3430, 0.0221, 0.6278], [0.6667, 0.3333, 0.1055], [0.3209, 0.3430, 0.3722], [0.0000, 0.0000, 0.0000], [0.3333, 0.6667, 0.8945], [0.3333, 0.6667, 0.6925], [0.6667, 0.3333, 0.3075], [0.0221, 0.6791, 0.3722]]}



{"formula": "CsCrPb3", "functional": "PBE", "state": "relaxed", "e_form_ev_per_atom": 1.678, "spacegroup": "Pm-3m, No. 221", "magmom_total_mub_per_cell": 4.758, "lattice_angstrom": [[-1.4553, 5.6650, -2.2894], [-3.5578, 1.1276, 5.0519], [4.9675, 2.4673, 2.9475]], "species": ["Pb", "Cr", "Pb", "Cs", "Pb"], "fractional_positions": [[0.0000, 0.0000, 0.5000], [0.5000, 0.5000, 0.5000], [0.5000, 0.0000, 0.0000], [0.0000, 0.0000, 0.0000], [0.0000, 0.5000, 0.0000]]}



{"formula": "CsCrPb2", "functional": "PBE", "state": "relaxed", "e_form_ev_per_atom": 0.446, "spacegroup": "I4_1/amd, No. 141", "magmom_total_mub_per_cell": 4.407, "lattice_angstrom": [[-5.1170, 3.8555, 1.7571], [-2.5334, -4.9924, 3.5769], [0.4003, 2.0256, 9.2804]], "species": ["Pb", "Pb", "Cs", "Cr", "Pb", "Pb", "Cs", "Cr"], "fractional_positions": [[0.3750, 0.1250, 0.2500], [0.3750, 0.6250, 0.7500], [0.0000, 0.0000, 0.0000], [0.5000, 0.5000, 0.0000], [0.8750, 0.6250, 0.7500], [0.3750, 0.6250, 0.2500], [0.7500, 0.2500, 0.5000], [0.2500, 0.7500, 0.5000]]}



{"formula": "Cs2CrPbS4", "functional": "PBE", "state": "relaxed", "energy_ev_per_cell": -75.18, "spacegroup": "Fddd, No. 70", "magmom_total_mub_per_cell": 4.000, "lattice_angstrom": [[-0.3236, 1.2173, 6.7267], [3.4859, -5.2148, 4.5927], [10.5457, 7.1736, 2.6903]], "species": ["Cs", "Pb", "S", "S", "Pb", "S", "S", "S", "Cr", "S", "Cs", "Cr", "Cs", "S", "S", "Cs"], "fractional_positions": [[0.9305, 0.5000, 0.1390], [0.0000, 0.0000, 0.0000], [0.2675, 0.1839, 0.9019], [0.4825, 0.3161, 0.5981], [0.7500, 0.5000, 0.5000], [0.3968, 0.6839, 0.4019], [0.9193, 0.6839, 0.5981], [0.8307, 0.8161, 0.9019], [0.5000, 0.0000, 0.0000], [0.5486, 0.1839, 0.0981], [0.8195, 0.0000, 0.3610], [0.2500, 0.5000, 0.5000], [0.1805, 0.0000, 0.6390], [0.2014, 0.3161, 0.4019], [0.3532, 0.8161, 0.0981], [0.5695, 0.5000, 0.8610]]}



{"formula": "Cs2CrPbSe4", "functional": "PBE", "state": "relaxed", "energy_ev_per_cell": -69.45, "spacegroup": "Fddd, No. 70", "magmom_total_mub_per_cell": 4.000, "lattice_angstrom": [[-3.6496, -2.5438, 5.5642], [0.6076, -7.8174, 1.3852], [8.2331, 0.8507, 10.3495]], "species": ["Se", "Se", "Cs", "Se", "Cs", "Se", "Cs", "Se", "Se", "Pb", "Cs", "Cr", "Se", "Se", "Pb", "Cr"], "fractional_positions": [[0.9089, 0.6865, 0.6050], [0.5496, 0.1865, 0.1050], [0.5693, 0.5000, 0.8613], [0.4861, 0.3135, 0.6050], [0.8193, 0.0000, 0.3613], [0.4046, 0.6865, 0.3950], [0.1807, 0.0000, 0.6387], [0.2639, 0.1865, 0.8950], [0.8411, 0.8135, 0.8950], [0.7500, 0.5000, 0.5000], [0.9307, 0.5000, 0.1387], [0.5000, 0.0000, 0.0000], [0.2004, 0.3135, 0.3950], [0.3454, 0.8135, 0.1050], [0.0000, 0.0000, 0.0000], [0.2500, 0.5000, 0.5000]]}



{"formula": "CsTaCrPb2", "functional": "PBE", "state": "relaxed", "e_form_ev_per_atom": 1.650, "spacegroup": "P4/mmm, No. 123", "magmom_total_mub_per_cell": 2.899, "lattice_angstrom": [[5.3426, 0.0000, 0.0000], [0.0000, 5.6439, 0.0000], [0.0000, 0.0000, 5.3426]], "species": ["Ta", "Pb", "Cs", "Cr", "Pb"], "fractional_positions": [[0.5000, 0.5000, 0.5000], [0.0000, 0.0000, 0.5000], [0.0000, 0.5000, 0.0000], [0.0000, 0.0000, 0.0000], [0.5000, 0.0000, 0.0000]]}



{"formula": "Cs3CrPd", "functional": "PBE", "state": "relaxed", "e_form_ev_per_atom": 0.605, "e_above_lowest_polymorph_mev_per_atom": 0.0, "spacegroup": "Pm-3m, No. 221", "magmom_total_mub_per_cell": 5.009, "lattice_angstrom": [[-5.7616, -3.3892, -0.7662], [2.5495, -3.1152, -5.3912], [2.3609, -4.9070, 3.9518]], "species": ["Cs", "Cs", "Pd", "Cs", "Cr"], "fractional_positions": [[0.5000, 0.0000, 0.0000], [0.0000, 0.0000, 0.5000], [0.0000, 0.0000, 0.0000], [0.0000, 0.5000, 0.0000], [0.5000, 0.5000, 0.5000]]}